(1)
CuTcAg2 at its PBEsol-relaxed geometry. Source: the Alexandria database, functional SCAN.

Properties
Excess energy over the best structure of this formula in the dataset = 134.9 meV per atom

Lattice parameters (Å, degrees): 4.778 4.778 4.778 131.72 131.72 70.67
Sites, in units of the cell vectors:
1 Cu 0.000 0.000 0.000
2 Tc 0.500 0.500 0.000
3 Ag 0.250 0.750 0.500
4 Ag 0.750 0.250 0.500



(2)
Cu2TcAg at its PBEsol-relaxed geometry. Source: the Alexandria database, functional SCAN.

Properties
Excess energy over the best structure of this formula in the dataset = 0.0 meV per atom

Lattice parameters (Å, degrees): 2.569 3.711 5.626 90.00 90.00 90.00
Sites, in units of the cell vectors:
1 Cu 0.000 0.000 0.232
2 Cu 0.000 0.000 0.768
3 Tc 0.500 0.500 0.000
4 Ag 0.500 0.500 0.500